# HoMgAlSe4 | Alexandria via LeMat-Bulk | PBE | optimized geometry
# E, eV per cell: -65.6
# Formation energy (no corrections), meV per atom: -1279
data_HoMgAlSe4
_cell_length_a 7.937
_cell_length_b 7.937
_cell_length_c 7.937
_cell_angle_alpha 120.16
_cell_angle_beta 119.97
_cell_angle_gamma 89.88
_symmetry_space_group_name_H-M 'P 1'
_symmetry_Int_Tables_number 1
loop_
_symmetry_equiv_pos_as_xyz
'x,y,z'
loop_
_atom_site_label
_atom_site_fract_x
_atom_site_fract_y
_atom_site_fract_z
_atom_site_occupancy
Ho1 0.500 0.000 0.000 1
Ho2 0.500 0.500 0.500 1
Mg1 0.000 0.000 0.000 1
Mg2 0.500 0.000 0.500 1
Al1 0.132 0.382 0.750 1
Al2 0.868 0.618 0.250 1
Se1 0.243 0.248 0.995 1
Se2 0.247 0.752 0.495 1
Se3 0.248 0.238 0.490 1
Se4 0.248 0.758 0.010 1
Se5 0.752 0.242 0.990 1
Se6 0.752 0.762 0.510 1
Se7 0.753 0.248 0.505 1
Se8 0.757 0.752 0.005 1

---

# La15Y4Tm | Alexandria via LeMat-Bulk | PBE | optimized geometry
# ΔH_f (0 K), meV/atom: 6
# E, eV per cell: -104.1
data_La15Y4Tm
_cell_length_a 5.213
_cell_length_b 5.213
_cell_length_c 26.065
_cell_angle_alpha 90.00
_cell_angle_beta 90.00
_cell_angle_gamma 90.00
_symmetry_space_group_name_H-M 'P 1'
_symmetry_Int_Tables_number 1
loop_
_symmetry_equiv_pos_as_xyz
'x,y,z'
loop_
_atom_site_label
_atom_site_fract_x
_atom_site_fract_y
_atom_site_fract_z
_atom_site_occupancy
La1 0.000 0.000 0.000 1
La2 0.000 0.000 0.199 1
La3 0.000 0.000 0.400 1
La4 0.000 0.000 0.600 1
La5 0.000 0.000 0.801 1
La6 0.000 0.500 0.099 1
La7 0.000 0.500 0.300 1
La8 0.000 0.500 0.500 1
La9 0.000 0.500 0.700 1
La10 0.000 0.500 0.901 1
La11 0.500 0.000 0.099 1
La12 0.500 0.000 0.300 1
La13 0.500 0.000 0.500 1
La14 0.500 0.000 0.700 1
La15 0.500 0.000 0.901 1
Y1 0.500 0.500 0.199 1
Y2 0.500 0.500 0.400 1
Y3 0.500 0.500 0.600 1
Y4 0.500 0.500 0.801 1
Tm1 0.500 0.500 0.000 1

---

# Ca5Ga2Bi6 | Alexandria via LeMat-Bulk | PBE | optimized geometry
# ΔH_f (0 K), meV/atom: -603
# E, eV per cell: -94.4
data_Ca5Ga2Bi6
_cell_length_a 12.323
_cell_length_b 14.447
_cell_length_c 4.626
_cell_angle_alpha 90.00
_cell_angle_beta 90.00
_cell_angle_gamma 90.00
_symmetry_space_group_name_H-M 'P 1'
_symmetry_Int_Tables_number 1
loop_
_symmetry_equiv_pos_as_xyz
'x,y,z'
loop_
_atom_site_label
_atom_site_fract_x
_atom_site_fract_y
_atom_site_fract_z
_atom_site_occupancy
Ca1 0.000 0.000 0.000 1
Ca2 0.090 0.245 0.000 1
Ca3 0.167 0.526 0.000 1
Ca4 0.333 0.026 0.000 1
Ca5 0.410 0.745 0.000 1
Ca6 0.500 0.500 0.000 1
Ca7 0.590 0.255 0.000 1
Ca8 0.667 0.974 0.000 1
Ca9 0.833 0.474 0.000 1
Ca10 0.910 0.755 0.000 1
Ga1 0.166 0.712 0.500 1
Ga2 0.334 0.212 0.500 1
Ga3 0.666 0.788 0.500 1
Ga4 0.834 0.288 0.500 1
Bi1 0.035 0.398 0.500 1
Bi2 0.153 0.090 0.500 1
Bi3 0.166 0.827 0.000 1
Bi4 0.334 0.327 0.000 1
Bi5 0.347 0.590 0.500 1
Bi6 0.465 0.898 0.500 1
Bi7 0.535 0.102 0.500 1
Bi8 0.653 0.410 0.500 1
Bi9 0.666 0.673 0.000 1
Bi10 0.834 0.173 0.000 1
Bi11 0.847 0.910 0.500 1
Bi12 0.965 0.602 0.500 1

---

# Ca4AlGa3 | Alexandria via LeMat-Bulk | PBE | optimized geometry
# ΔH_f (0 K), meV/atom: -411
# E, eV per cell: -24.1
data_Ca4AlGa3
_cell_length_a 4.197
_cell_length_b 4.406
_cell_length_c 11.543
_cell_angle_alpha 90.00
_cell_angle_beta 90.00
_cell_angle_gamma 90.00
_symmetry_space_group_name_H-M 'P 1'
_symmetry_Int_Tables_number 1
loop_
_symmetry_equiv_pos_as_xyz
'x,y,z'
loop_
_atom_site_label
_atom_site_fract_x
_atom_site_fract_y
_atom_site_fract_z
_atom_site_occupancy
Ca1 0.000 0.000 0.000 1
Ca2 0.000 0.500 0.288 1
Ca3 0.500 0.000 0.494 1
Ca4 0.500 0.500 0.792 1
Al1 0.000 0.000 0.706 1
Ga1 0.000 0.500 0.577 1
Ga2 0.500 0.000 0.210 1
Ga3 0.500 0.500 0.077 1

---

# Rb3La2NpO6 | Alexandria via LeMat-Bulk | PBE | optimized geometry
# E, eV per cell: -84.8
# Formation energy (no corrections), meV per atom: -2449
data_Rb3La2NpO6
_cell_length_a 6.417
_cell_length_b 6.417
_cell_length_c 6.939
_cell_angle_alpha 98.87
_cell_angle_beta 98.87
_cell_angle_gamma 120.00
_symmetry_space_group_name_H-M 'P 1'
_symmetry_Int_Tables_number 1
loop_
_symmetry_equiv_pos_as_xyz
'x,y,z'
loop_
_atom_site_label
_atom_site_fract_x
_atom_site_fract_y
_atom_site_fract_z
_atom_site_occupancy
Rb1 0.000 0.000 0.000 1
Rb2 0.334 0.666 0.000 1
Rb3 0.666 0.334 0.000 1
La1 0.167 0.833 0.500 1
La2 0.833 0.167 0.500 1
Np1 0.500 0.500 0.500 1
O1 0.122 0.441 0.322 1
O2 0.240 0.240 0.678 1
O3 0.441 0.122 0.322 1
O4 0.559 0.878 0.678 1
O5 0.760 0.760 0.322 1
O6 0.878 0.559 0.678 1

---

# HgW2N | Alexandria via LeMat-Bulk | PBE | optimized geometry
# E, eV per cell: -27.9
# Excess energy over the best structure of this formula in the dataset, meV/atom: 752
# Formation energy (no corrections), meV per atom: 1662
data_HgW2N
_cell_length_a 4.374
_cell_length_b 4.374
_cell_length_c 4.374
_cell_angle_alpha 60.00
_cell_angle_beta 60.00
_cell_angle_gamma 60.00
_symmetry_space_group_name_H-M 'P 1'
_symmetry_Int_Tables_number 1
loop_
_symmetry_equiv_pos_as_xyz
'x,y,z'
loop_
_atom_site_label
_atom_site_fract_x
_atom_site_fract_y
_atom_site_fract_z
_atom_site_occupancy
Hg1 0.000 0.000 0.000 1
W1 0.250 0.250 0.250 1
W2 0.750 0.750 0.750 1
N1 0.500 0.500 0.500 1

---

> What is the E in the second record?

-104.1 eV per cell